Density functional theory data (PBE+U) for a relaxed TlCr4Co3O12 crystal.

Cell: 6.4353 6.4353 6.4353 Å, 109.47 109.47 109.47°
Element x y z (fractional)
1 Tl 0.0000 0.0000 0.0000
2 Cr 0.0000 0.0000 0.5000
3 Cr 0.0000 0.5000 0.0000
4 Cr 0.5000 0.0000 0.0000
5 Cr 0.5000 0.5000 0.5000
6 Co 0.0000 0.5000 0.5000
7 Co 0.5000 0.0000 0.5000
8 Co 0.5000 0.5000 0.0000
9 O 0.1435 0.8275 0.3161
10 O 0.1725 0.3161 0.4886
11 O 0.1725 0.6839 0.8565
12 O 0.3161 0.1435 0.8275
13 O 0.3161 0.4886 0.1725
14 O 0.4886 0.1725 0.3161
15 O 0.5114 0.8275 0.6839
16 O 0.6839 0.5114 0.8275
17 O 0.6839 0.8565 0.1725
18 O 0.8275 0.3161 0.1435
19 O 0.8275 0.6839 0.5114
20 O 0.8565 0.1725 0.6839

Results
**Calculated total energy**: -6.69 eV/atom